Below is a PBEsol-optimized structure of Ca2Al2Bi, with properties calculated at the meta-GGA SCAN level. Values from VASP.

## Properties
energy of formation	-1.69	eV per formula unit
calculated total energy	-230.20	eV per cell
space-group type	P4/mbm (127)

Cell and atoms, written as Quantum ESPRESSO input:
```
&SYSTEM
  ibrav = 0, nat = 10, ntyp = 3
/
ATOMIC_SPECIES
Ca 40.08 Ca.upf
Bi 208.98 Bi.upf
Al 26.98 Al.upf
CELL_PARAMETERS angstrom
-2.927 -3.060 1.934
0.638 -4.450 -6.074
5.841 -3.554 3.217
ATOMIC_POSITIONS angstrom
Ca 2.572 -4.684 2.084
Ca 3.801 -7.463 -0.452
Ca 0.980 -6.379 -3.006
Ca -0.249 -3.601 -0.470
Bi 0.000 0.000 0.000
Bi 3.239 -4.002 -1.428
Al 5.375 -4.809 0.526
Al 4.189 -6.118 -3.340
Al 1.104 -3.195 -3.383
Al 2.290 -1.885 0.483
```